{
  "formula": "Tl3NiC2O6",
  "functional": "PBE+U",
  "state": "relaxed",
  "cell": [[5.133, 0.000, 0.000], [-2.567, 4.446, 0.000], [0.000, 0.000, 8.350]],
  "species": ["Tl", "Tl", "Tl", "Ni", "C", "C", "O", "O", "O", "O", "O", "O"],
  "fractional_positions": [[0.000, 0.000, 0.000], [0.333, 0.667, 0.804], [0.667, 0.333, 0.196], [0.000, 0.000, 0.500], [0.333, 0.667, 0.356], [0.667, 0.333, 0.644], [0.187, 0.374, 0.348], [0.187, 0.813, 0.348], [0.374, 0.187, 0.652], [0.626, 0.813, 0.348], [0.813, 0.187, 0.652], [0.813, 0.626, 0.652]],
  "n_ef_per_ev_atom": 0.305,
  "final_energy_ev_per_cell": -69.79
}